# CoH4SN2O4 PBE with a Hubbard U optimized geometry
# E in eV per atom: -5.7059
# Magnetic moment in μB per cell: 12.00
data_CoH4SN2O4
_cell_length_a 6.182
_cell_length_b 7.531
_cell_length_c 8.796
_cell_angle_alpha 90.00
_cell_angle_beta 90.00
_cell_angle_gamma 90.00
_symmetry_space_group_name_H-M 'P c c n'
_symmetry_Int_Tables_number 56
_symmetry_space_group_name_Hall '-P 2ab 2ac'
loop_
_atom_site_label
_atom_site_type_symbol
_atom_site_fract_x
_atom_site_fract_y
_atom_site_fract_z
_atom_site_occupancy
Co1 Co 0.000 0.000 0.000 1
H1 H 0.112 0.129 0.498 1
H2 H 0.186 0.118 0.318 1
S1 S 0.250 0.750 0.258 1
N1 N 0.238 0.154 0.425 1
O1 O 0.054 0.726 0.354 1
O2 O 0.223 0.589 0.663 1